# LiIn2Cl

A geometry-optimized LiIn2Cl structure (GGA-PBE, the Alexandria database).

Unit cell a=3.3113 b=3.3113 c=10.2216 alpha=90.00 beta=90.00 gamma=90.00
Last column: nearest neighbours and their distance in Å.
Space group P4mm (No. 99)
Symmetry-distinct sites (fractional):
Li1 0.0000 0.0000 0.0000  4 Cl 2.34
In1 0.0000 0.0000 0.3942  8 In 3.31-3.39
In2 0.5000 0.5000 0.6345  8 In 3.31-3.39
Cl1 0.5000 0.5000 0.0034  4 Li 2.34

Computed properties:
As for the magnetization: 0.00 μB/cell. The uncorrected formation energy is -0.706 eV/atom. As for the crystal system: tetragonal. The value obtained for the energy relative to the lowest polymorph listed for this composition is 2 meV per atom.